(1)
Entry from Alexandria: a geometry-optimized BaNaSr6Rh structure (GGA-PBE).

Calculated values
**ΔH_f (0 K)**: -0.1018 eV/atom
**Theoretical density**: 2.98 g/cm³
**DOS(E_F)**: 8.071 states/eV/f.u.

Structure (CIF):
```
data_BaNaSr6Rh
_cell_length_a 8.550
_cell_length_b 7.399
_cell_length_c 8.528
_cell_angle_alpha 90.03
_cell_angle_beta 90.04
_cell_angle_gamma 54.66
_symmetry_space_group_name_H-M 'P 1'
_symmetry_Int_Tables_number 1
_symmetry_space_group_name_Hall 'P 1'
loop_
_atom_site_label
_atom_site_type_symbol
_atom_site_fract_x
_atom_site_fract_y
_atom_site_fract_z
_atom_site_occupancy
Ba1 Ba 0.581 0.838 0.445 1
Na1 Na 0.082 0.837 0.944 1
Sr1 Sr 0.091 0.335 0.197 1
Sr2 Sr 0.585 0.830 0.945 1
Sr3 Sr 0.574 0.335 0.692 1
Sr4 Sr 0.092 0.335 0.693 1
Sr5 Sr 0.090 0.821 0.444 1
Sr6 Sr 0.573 0.335 0.196 1
Rh1 Rh 0.333 0.333 0.444 1
```

(2)
Entry from Alexandria: a geometry-optimized Ba2NaSrRh structure (GGA-PBE).

Calculated values
**ΔH_f (0 K)**: 0.0417 eV/atom
**Offset from the most stable computed form**: 187.0 meV/atom
**Theoretical density**: 3.67 g/cm³
**DOS(E_F)**: 4.409 states/eV/f.u.

Structure (CIF):
```
data_Ba2NaSrRh
_cell_length_a 5.985
_cell_length_b 5.985
_cell_length_c 6.162
_cell_angle_alpha 90.00
_cell_angle_beta 90.00
_cell_angle_gamma 90.00
_symmetry_space_group_name_H-M 'P 1'
_symmetry_Int_Tables_number 1
_symmetry_space_group_name_Hall 'P 1'
loop_
_atom_site_label
_atom_site_type_symbol
_atom_site_fract_x
_atom_site_fract_y
_atom_site_fract_z
_atom_site_occupancy
Sr1 Sr 0.500 0.500 0.500 1
Rh1 Rh 0.000 0.000 0.000 1
Ba1 Ba 0.000 0.500 0.000 1
Ba2 Ba 0.500 0.000 0.000 1
Na1 Na 0.000 0.000 0.500 1
```

(3)
Entry from Alexandria: a geometry-optimized BaNaSr2Rh structure (GGA-PBE).

Calculated values
**ΔH_f (0 K)**: 0.0160 eV/atom
**Offset from the most stable computed form**: 164.3 meV/atom
**Theoretical density**: 3.55 g/cm³
**DOS(E_F)**: 4.073 states/eV/f.u.

Structure (CIF):
```
data_BaNaSr2Rh
_cell_length_a 5.810
_cell_length_b 5.810
_cell_length_c 6.071
_cell_angle_alpha 90.00
_cell_angle_beta 90.00
_cell_angle_gamma 90.00
_symmetry_space_group_name_H-M 'P 1'
_symmetry_Int_Tables_number 1
_symmetry_space_group_name_Hall 'P 1'
loop_
_atom_site_label
_atom_site_type_symbol
_atom_site_fract_x
_atom_site_fract_y
_atom_site_fract_z
_atom_site_occupancy
Sr1 Sr 0.000 0.500 0.000 1
Sr2 Sr 0.500 0.000 0.000 1
Rh1 Rh 0.000 0.000 0.000 1
Ba1 Ba 0.500 0.500 0.500 1
Na1 Na 0.000 0.000 0.500 1
```

(4)
Entry from Alexandria: a geometry-optimized Ba6NaSrRh structure (GGA-PBE).

Calculated values
**ΔH_f (0 K)**: -0.1049 eV/atom
**Theoretical density**: 3.46 g/cm³
**DOS(E_F)**: 8.502 states/eV/f.u.

Structure (CIF):
```
data_Ba6NaSrRh
_cell_length_a 8.865
_cell_length_b 8.861
_cell_length_c 7.327
_cell_angle_alpha 89.98
_cell_angle_beta 89.97
_cell_angle_gamma 59.99
_symmetry_space_group_name_H-M 'P 1'
_symmetry_Int_Tables_number 1
_symmetry_space_group_name_Hall 'P 1'
loop_
_atom_site_label
_atom_site_type_symbol
_atom_site_fract_x
_atom_site_fract_y
_atom_site_fract_z
_atom_site_occupancy
Ba1 Ba 0.169 0.169 0.319 1
Ba2 Ba 0.497 0.007 0.795 1
Ba3 Ba 0.497 0.497 0.794 1
Ba4 Ba 0.006 0.497 0.794 1
Ba5 Ba 0.169 0.661 0.318 1
Ba6 Ba 0.662 0.169 0.319 1
Na1 Na 0.000 0.000 0.808 1
Sr1 Sr 0.667 0.666 0.296 1
Rh1 Rh 0.333 0.333 0.558 1
```

(5)
Entry from Alexandria: a geometry-optimized BaNa2TcRh structure (GGA-PBE).

Calculated values
**ΔH_f (0 K)**: 1.4398 eV/atom
**Theoretical density**: 3.96 g/cm³
**DOS(E_F)**: 7.058 states/eV/f.u.

Structure (CIF):
```
data_BaNa2TcRh
_cell_length_a 5.425
_cell_length_b 5.469
_cell_length_c 5.425
_cell_angle_alpha 90.00
_cell_angle_beta 90.00
_cell_angle_gamma 90.00
_symmetry_space_group_name_H-M 'P 1'
_symmetry_Int_Tables_number 1
_symmetry_space_group_name_Hall 'P 1'
loop_
_atom_site_label
_atom_site_type_symbol
_atom_site_fract_x
_atom_site_fract_y
_atom_site_fract_z
_atom_site_occupancy
Na1 Na 0.000 0.000 0.500 1
Na2 Na 0.500 0.000 0.000 1
Rh1 Rh 0.500 0.500 0.500 1
Ba1 Ba 0.000 0.500 0.000 1
Tc1 Tc 0.000 0.000 0.000 1
```

(6)
Entry from Alexandria: a geometry-optimized BaNaTl2Rh structure (GGA-PBE).

Calculated values
**ΔH_f (0 K)**: -0.1353 eV/atom
**Offset from the most stable computed form**: 0.0 meV/atom
**Theoretical density**: 7.24 g/cm³
**DOS(E_F)**: 3.917 states/eV/f.u.

Structure (CIF):
```
data_BaNaTl2Rh
_cell_length_a 5.311
_cell_length_b 5.311
_cell_length_c 5.464
_cell_angle_alpha 90.00
_cell_angle_beta 90.00
_cell_angle_gamma 90.00
_symmetry_space_group_name_H-M 'P 1'
_symmetry_Int_Tables_number 1
_symmetry_space_group_name_Hall 'P 1'
loop_
_atom_site_label
_atom_site_type_symbol
_atom_site_fract_x
_atom_site_fract_y
_atom_site_fract_z
_atom_site_occupancy
Na1 Na 0.000 0.000 0.500 1
Tl1 Tl 0.000 0.500 0.000 1
Tl2 Tl 0.500 0.000 0.000 1
Rh1 Rh 0.000 0.000 0.000 1
Ba1 Ba 0.500 0.500 0.500 1
```

(7)
Entry from Alexandria: a geometry-optimized Ba6Na2TlRh structure (GGA-PBE).

Calculated values
**ΔH_f (0 K)**: -0.1048 eV/atom
**Theoretical density**: 3.54 g/cm³
**DOS(E_F)**: 9.332 states/eV/f.u.

Structure (CIF):
```
data_Ba6Na2TlRh
_cell_length_a 9.209
_cell_length_b 9.209
_cell_length_c 9.215
_cell_angle_alpha 120.02
_cell_angle_beta 120.02
_cell_angle_gamma 90.02
_symmetry_space_group_name_H-M 'P 1'
_symmetry_Int_Tables_number 1
_symmetry_space_group_name_Hall 'P 1'
loop_
_atom_site_label
_atom_site_type_symbol
_atom_site_fract_x
_atom_site_fract_y
_atom_site_fract_z
_atom_site_occupancy
Ba1 Ba 0.763 0.764 0.999 1
Ba2 Ba 0.763 0.764 0.527 1
Ba3 Ba 0.237 0.237 0.000 1
Ba4 Ba 0.764 0.237 0.999 1
Ba5 Ba 0.236 0.237 0.472 1
Ba6 Ba 0.236 0.764 0.000 1
Na1 Na 0.751 0.251 0.501 1
Na2 Na 0.251 0.751 0.501 1
Tl1 Tl 0.500 0.500 0.999 1
Rh1 Rh 0.000 0.000 0.999 1
```

(8)
Entry from Alexandria: a geometry-optimized BaNaTl2Rh structure (GGA-PBE).

Calculated values
**ΔH_f (0 K)**: -0.1320 eV/atom
**Offset from the most stable computed form**: 3.4 meV/atom
**Theoretical density**: 6.53 g/cm³
**DOS(E_F)**: 2.803 states/eV/f.u.

Structure (CIF):
```
data_BaNaTl2Rh
_cell_length_a 5.406
_cell_length_b 5.406
_cell_length_c 5.847
_cell_angle_alpha 90.00
_cell_angle_beta 90.00
_cell_angle_gamma 90.00
_symmetry_space_group_name_H-M 'P 1'
_symmetry_Int_Tables_number 1
_symmetry_space_group_name_Hall 'P 1'
loop_
_atom_site_label
_atom_site_type_symbol
_atom_site_fract_x
_atom_site_fract_y
_atom_site_fract_z
_atom_site_occupancy
Na1 Na 0.500 0.500 0.500 1
Tl1 Tl 0.000 0.500 0.000 1
Tl2 Tl 0.500 0.000 0.000 1
Rh1 Rh 0.000 0.000 0.000 1
Ba1 Ba 0.000 0.000 0.500 1
```

| no. | VASP energy (eV/atom) | total magnetization (μB per formula unit) |
| --- | --- | --- |
| 1 | -2.400 | 0.000 |
| 2 | -2.798 | 0.000 |
| 3 | -2.775 | 0.000 |
| 4 | -2.537 | 0.000 |
| 5 | -3.016 | 3.017 |
| 6 | -3.200 | 0.000 |
| 7 | -2.494 | 0.000 |
| 8 | -3.197 | 0.000 |